{"formula": "InPAu", "functional": "GGA-PBE", "state": "optimized geometry", "lattice": [[-6.3603, 3.0240, 0.9067], [1.7008, -2.8815, -6.2629], [-1.5543, -3.6455, 1.2552]], "species": ["In", "In", "In", "P", "P", "P", "Au", "Au", "Au"], "fractional_positions": [[0.5883, 0.0000, 0.5000], [0.0000, 0.5883, 0.5000], [0.4117, 0.4117, 0.5000], [0.2608, 0.0000, 0.0000], [0.0000, 0.2608, 0.0000], [0.7392, 0.7392, 0.0000], [0.3333, 0.6667, 0.0000], [0.6667, 0.3333, 0.0000], [0.0000, 0.0000, 0.5000]], "dos_at_fermi_per_ev_cell": 3.49, "crystal_system": "hexagonal", "final_energy_ev_per_atom": -3.674, "magnetic_moment_mub_per_fu": 0.00}

{"formula": "Th8Os3AuSe4", "functional": "GGA-PBE", "state": "optimized geometry", "lattice": [[-0.0479, 5.0076, 6.6462], [2.8626, -6.6153, 5.0049], [4.4371, 2.0619, -6.7313]], "species": ["Th", "Th", "Th", "Th", "Th", "Th", "Th", "Th", "Os", "Os", "Os", "Au", "Se", "Se", "Se", "Se"], "fractional_positions": [[0.2478, 0.7193, 0.9727], [0.2473, 0.7182, 0.4946], [0.2611, 0.2833, 0.5221], [0.7249, 0.7193, 0.9727], [0.2751, 0.2807, 0.0273], [0.7389, 0.7167, 0.4779], [0.7527, 0.2818, 0.5054], [0.7522, 0.2807, 0.0273], [0.5000, 0.5000, 0.0000], [0.5000, 0.5000, 0.5000], [0.0000, 0.5000, 0.5000], [0.0000, 0.5000, 0.0000], [0.5000, 0.0000, 0.0000], [0.5000, 0.0000, 0.5000], [0.0000, 0.0000, 0.0000], [0.0000, 0.0000, 0.5000]], "e_form_raw_mev_per_atom": -1037, "dos_at_fermi_per_ev_cell": 10.12, "crystal_system": "monoclinic", "magnetic_moment_mub_per_fu": 0.00}

{"formula": "PmPrPuMg", "functional": "GGA-PBE", "state": "optimized geometry", "lattice": [[5.5783, 0.0000, 0.0000], [2.7892, 4.8310, 0.0000], [2.7892, 1.6103, 4.5547]], "species": ["Pr", "Mg", "Pm", "Pu"], "fractional_positions": [[0.2500, 0.2500, 0.2500], [0.0000, 0.0000, 0.0000], [0.7500, 0.7500, 0.7500], [0.5000, 0.5000, 0.5000]], "dos_at_fermi_per_ev_cell": 15.56, "crystal_system": "cubic", "final_energy_ev_per_atom": -6.216, "magnetic_moment_mub_per_fu": 6.22}

{"formula": "VGe3Cl", "functional": "GGA-PBE", "state": "optimized geometry", "lattice": [[4.8862, 0.0000, 0.0000], [0.0000, 4.8862, 0.0000], [0.0000, 0.0000, 4.8862]], "species": ["Ge", "Ge", "Ge", "V", "Cl"], "fractional_positions": [[0.0000, 0.5000, 0.0000], [0.0000, 0.0000, 0.5000], [0.5000, 0.0000, 0.0000], [0.5000, 0.5000, 0.5000], [0.0000, 0.0000, 0.0000]], "e_form_raw_mev_per_atom": 1033, "dos_at_fermi_per_ev_cell": 7.04, "crystal_system": "cubic", "magnetic_moment_mub_per_fu": 3.41}

{"formula": "ZnAs2Br", "functional": "GGA-PBE", "state": "optimized geometry", "lattice": [[8.5905, 0.0233, 0.0007], [7.0762, 4.8707, -0.0007], [-7.8207, -2.4875, 2.5389]], "species": ["As", "As", "Br", "Zn"], "fractional_positions": [[0.1069, 0.1069, 0.0000], [0.2096, 0.7096, 0.5000], [0.3949, 0.3949, 0.0000], [0.7886, 0.2886, 0.5000]], "e_form_raw_mev_per_atom": -43, "dos_at_fermi_per_ev_cell": 0.84, "crystal_system": "orthorhombic", "magnetic_moment_mub_per_fu": 0.00}